The following is a GGA+U calculation of a geometry-optimized Ba2SrFe2O6 structure, from Alexandria.

```
data_Ba2SrFe2O6
_chemical_formula_sum 'Ba6 Sr3 Fe6 O18'
_cell_length_a 6.1511
_cell_length_b 6.1511
_cell_length_c 18.9626
_cell_angle_alpha 90.00
_cell_angle_beta 90.00
_cell_angle_gamma 120.00
_symmetry_space_group_name_H-M 'R -3 m'
_symmetry_Int_Tables_number 166
_symmetry_space_group_name_Hall '-R 3 2"'
loop_
_atom_site_label
_atom_site_type_symbol
_atom_site_fract_x
_atom_site_fract_y
_atom_site_fract_z
Ba1 Ba 0.0000 0.0000 0.2049
Sr1 Sr 0.0000 0.0000 0.0000
Fe1 Fe 0.0000 0.0000 0.4324
O1 O 0.0066 0.5033 0.7606
```

V	621	Å³ per cell
total energy	-6.20	eV/atom
DOS at the Fermi energy	20.61	states/eV per cell